The following is a PBE calculation of BaGdCu2Sb2 after structural relaxation, from OQMD.

Computed properties:
energy = -4.410 eV per atom

a b c (Å): 4.4852 4.4852 8.8879
angles (deg): 90.00 90.00 120.00
With the nearest neighbours (Å) after each atom.
Fractional coordinates of all 6 atoms:
Ba1 0.0000 0.0000 0.7500  6 Sb 3.56, 6 Cu 3.74-3.76
Cu1 0.3333 0.6667 0.0571  3 Sb 2.61
Cu2 0.6667 0.3333 0.4458  3 Sb 2.60
Gd1 0.0000 0.0000 0.2498  6 Cu 3.10-3.12, 6 Sb 3.27
Sb1 0.6667 0.3333 0.0245  3 Cu 2.61
Sb2 0.3333 0.6667 0.4748  3 Cu 2.60


The following is a PBE calculation of BaGdCuSe3 after structural relaxation, from OQMD.

Computed properties:
energy = -5.047 eV per atom

a b c (Å): 7.3702 7.3702 10.7014
angles (deg): 90.00 90.00 146.97
With the nearest neighbours (Å) after each atom.
Fractional coordinates of all 12 atoms:
Ba1 0.2532 0.7468 0.2500  6 Se 3.26-3.35
Ba2 0.7468 0.2532 0.7500  6 Se 3.26-3.35
Cu1 0.5331 0.4669 0.2500  4 Se 2.47-2.55
Cu2 0.4669 0.5331 0.7500  4 Se 2.47-2.55
Gd1 0.0000 0.0000 0.0000  6 Se 2.85-2.91
Gd2 0.0000 0.0000 0.5000  6 Se 2.85-2.91
Se1 0.6351 0.3649 0.0621  1 Cu 2.47
Se2 0.9303 0.0697 0.2500  2 Cu 2.55, 2 Gd 2.85
Se3 0.6351 0.3649 0.4379  1 Cu 2.47
Se4 0.3649 0.6351 0.5621  1 Cu 2.47
Se5 0.0697 0.9303 0.7500  2 Cu 2.55, 2 Gd 2.85
Se6 0.3649 0.6351 0.9379  1 Cu 2.47


The following is a PBE calculation of BaGdCuSe3 after structural relaxation, from OQMD.

Computed properties:
energy = -5.022 eV per atom

a b c (Å): 8.7727 4.1973 9.3910
angles (deg): 90.00 105.81 90.00
With the nearest neighbours (Å) after each atom.
Fractional coordinates of all 12 atoms:
Ba1 0.7946 0.7500 0.2467  7 Se 3.29-3.52, 1 Cu 3.63
Ba2 0.2054 0.2500 0.7533  7 Se 3.29-3.52, 1 Cu 3.63
Cu1 0.0827 0.2500 0.0931  4 Se 2.50-2.55
Cu2 0.9173 0.7500 0.9069  4 Se 2.50-2.55
Gd1 0.3172 0.7500 0.3421  6 Se 2.84-2.93
Gd2 0.6828 0.2500 0.6579  6 Se 2.84-2.93
Se1 0.2140 0.7500 0.0275  3 Cu 2.54-2.55, 1 Gd 2.84
Se2 0.5473 0.2500 0.3359  3 Gd 2.92-2.93
Se3 0.0976 0.2500 0.3633  1 Cu 2.50
Se4 0.9024 0.7500 0.6367  1 Cu 2.50
Se5 0.4527 0.7500 0.6641  3 Gd 2.92-2.93
Se6 0.7860 0.2500 0.9725  3 Cu 2.54-2.55, 1 Gd 2.84


The following is a PBE calculation of BaGdCuTeSe2 after structural relaxation, from OQMD.

Computed properties:
energy = -4.856 eV per atom

a b c (Å): 7.6727 7.6727 11.1574
angles (deg): 90.00 90.00 148.07
With the nearest neighbours (Å) after each atom.
Fractional coordinates of all 12 atoms:
Ba1 0.7313 0.2687 0.2500  4 Se 3.30, 2 Te 3.46, 2 Cu 3.67
Ba2 0.2687 0.7313 0.7500  4 Se 3.30, 2 Te 3.46, 2 Cu 3.67
Cu1 0.0281 0.9719 0.2500  2 Se 2.49, 2 Te 2.67
Cu2 0.9719 0.0281 0.7500  2 Se 2.49, 2 Te 2.67
Gd1 0.5000 0.5000 0.0000  4 Se 2.92, 2 Te 3.04
Gd2 0.5000 0.5000 0.5000  4 Se 2.92, 2 Te 3.04
Se1 0.1265 0.8735 0.0690  1 Cu 2.49
Se2 0.1265 0.8735 0.4310  1 Cu 2.49
Se3 0.8735 0.1265 0.5690  1 Cu 2.49
Se4 0.8735 0.1265 0.9310  1 Cu 2.49
Te1 0.4174 0.5826 0.2500  2 Cu 2.67
Te2 0.5826 0.4174 0.7500  2 Cu 2.67


The following is a PBE calculation of BaCuGe after structural relaxation, from OQMD.

Computed properties:
energy = -3.247 eV per atom

a b c (Å): 4.9977 4.9977 4.9977
angles (deg): 60.00 60.00 60.00
With the nearest neighbours (Å) after each atom.
Fractional coordinates of all 3 atoms:
Ba1 0.2500 0.2500 0.2500  4 Ge 3.06
Cu1 0.7500 0.7500 0.7500  4 Ge 3.06
Ge1 0.0000 0.0000 0.0000  4 Ba 3.06, 4 Cu 3.06


The following is a PBE calculation of BaCuGe after structural relaxation, from OQMD.

Computed properties:
energy = -3.391 eV per atom

a b c (Å): 4.9032 4.9032 4.9032
angles (deg): 60.00 60.00 60.00
With the nearest neighbours (Å) after each atom.
Fractional coordinates of all 3 atoms:
Ba1 0.2500 0.2500 0.2500  4 Cu 3.00
Cu1 0.0000 0.0000 0.0000  4 Ba 3.00, 4 Ge 3.00
Ge1 0.7500 0.7500 0.7500  4 Cu 3.00


The following is a PBE calculation of Ba2CuGeS6 after structural relaxation, from OQMD.

Computed properties:
energy = -4.439 eV per atom

a b c (Å): 6.8128 6.8128 6.8128
angles (deg): 120.00 120.00 60.00
With the nearest neighbours (Å) after each atom.
Fractional coordinates of all 10 atoms:
Ba1 0.7500 0.7500 0.2500  12 S 3.41
Ba2 0.2500 0.2500 0.7500  12 S 3.41
Cu1 0.5000 0.5000 0.5000  6 S 2.38
Ge1 0.0000 0.0000 0.0000  6 S 2.44
S1 0.7472 0.2528 0.2528  1 Cu 2.38, 1 Ge 2.44
S2 0.2528 0.7472 0.2528  1 Cu 2.38, 1 Ge 2.44
S3 0.2528 0.2528 0.2528  1 Cu 2.38, 1 Ge 2.44
S4 0.7472 0.7472 0.7472  1 Cu 2.38, 1 Ge 2.44
S5 0.7472 0.2528 0.7472  1 Cu 2.38, 1 Ge 2.44
S6 0.2528 0.7472 0.7472  1 Cu 2.38, 1 Ge 2.44


The following is a PBE calculation of BaSrCuSiGe2 after structural relaxation, from OQMD.

Computed properties:
ΔE to the lowest computed polymorph = 0 meV/atom
energy = -4.163 eV per atom

a b c (Å): 8.7875 8.4891 6.4453
angles (deg): 70.58 65.65 43.77
With the nearest neighbours (Å) after each atom.
Fractional coordinates of all 12 atoms:
Ba1 0.2438 0.7562 0.2438  8 Ge 3.44-3.50, 2 Si 3.44, 2 Cu 3.52
Ba2 0.7562 0.2438 0.7562  8 Ge 3.44-3.50, 2 Si 3.44, 2 Cu 3.52
Cu1 0.6709 0.6709 0.3291  1 Si 2.32, 2 Ge 2.44
Cu2 0.3291 0.3291 0.6709  1 Si 2.32, 2 Ge 2.44
Ge1 0.8352 0.3403 0.1648  1 Cu 2.44, 1 Si 2.48, 1 Ge 2.58
Ge2 0.6597 0.1648 0.3403  1 Cu 2.44, 1 Si 2.48, 1 Ge 2.58
Ge3 0.3403 0.8352 0.6597  1 Cu 2.44, 1 Si 2.48, 1 Ge 2.58
Ge4 0.1648 0.6597 0.8352  1 Cu 2.44, 1 Si 2.48, 1 Ge 2.58
Si1 0.8290 0.8290 0.1710  1 Cu 2.32, 2 Ge 2.48
Si2 0.1710 0.1710 0.8290  1 Cu 2.32, 2 Ge 2.48
Sr1 0.2500 0.2500 0.2500  4 Ge 3.39, 4 Si 3.42, 4 Cu 3.43
Sr2 0.7500 0.7500 0.7500  4 Ge 3.39, 4 Si 3.42, 4 Cu 3.43


The following is a PBE calculation of Ba2LiCuH6 after structural relaxation, from OQMD.

Computed properties:
energy = -3.361 eV per atom

a b c (Å): 5.5847 5.5847 5.5847
angles (deg): 60.00 60.00 60.00
With the nearest neighbours (Å) after each atom.
Fractional coordinates of all 10 atoms:
Ba1 0.2500 0.2500 0.2500  12 H 2.79
Ba2 0.7500 0.7500 0.7500  12 H 2.79
Cu1 0.0000 0.0000 0.0000  6 H 1.88
H1 0.7625 0.2375 0.2375  1 Cu 1.88, 1 Li 2.07
H2 0.2375 0.7625 0.2375  1 Cu 1.88, 1 Li 2.07
H3 0.7625 0.7625 0.2375  1 Cu 1.88, 1 Li 2.07
H4 0.7625 0.2375 0.7625  1 Cu 1.88, 1 Li 2.07
H5 0.2375 0.7625 0.7625  1 Cu 1.88, 1 Li 2.07
H6 0.2375 0.2375 0.7625  1 Cu 1.88, 1 Li 2.07
Li1 0.5000 0.5000 0.5000  6 H 2.07


The following is a PBE calculation of Ba2CuNiH6 after structural relaxation, from OQMD.

Computed properties:
energy = -3.630 eV per atom

a b c (Å): 5.4888 5.4888 5.4888
angles (deg): 60.00 60.00 60.00
With the nearest neighbours (Å) after each atom.
Fractional coordinates of all 10 atoms:
Ba1 0.2500 0.2500 0.2500  12 H 2.75
Ba2 0.7500 0.7500 0.7500  12 H 2.75
Cu1 0.5000 0.5000 0.5000  6 H 2.12
H1 0.2273 0.7727 0.2273  1 Ni 1.76
H2 0.7727 0.7727 0.2273  1 Ni 1.76
H3 0.7727 0.2273 0.2273  1 Ni 1.76
H4 0.2273 0.7727 0.7727  1 Ni 1.76
H5 0.7727 0.2273 0.7727  1 Ni 1.76
H6 0.2273 0.2273 0.7727  1 Ni 1.76
Ni1 0.0000 0.0000 0.0000  6 H 1.76


The following is a PBE calculation of Ba2CuH6Pd after structural relaxation, from OQMD.

Computed properties:
energy = -3.651 eV per atom

a b c (Å): 5.5831 5.5831 5.5831
angles (deg): 60.00 60.00 60.00
With the nearest neighbours (Å) after each atom.
Fractional coordinates of all 10 atoms:
Ba1 0.2500 0.2500 0.2500  12 H 2.79
Ba2 0.7500 0.7500 0.7500  12 H 2.79
Cu1 0.5000 0.5000 0.5000  6 H 1.96
H1 0.7476 0.2524 0.2524  1 Cu 1.96, 1 Pd 1.99
H2 0.2524 0.7476 0.2524  1 Cu 1.96, 1 Pd 1.99
H3 0.7476 0.7476 0.2524  1 Cu 1.96, 1 Pd 1.99
H4 0.2524 0.2524 0.7476  1 Cu 1.96, 1 Pd 1.99
H5 0.7476 0.2524 0.7476  1 Cu 1.96, 1 Pd 1.99
H6 0.2524 0.7476 0.7476  1 Cu 1.96, 1 Pd 1.99
Pd1 0.0000 0.0000 0.0000  6 H 1.99


The following is a PBE calculation of BaHfCu2 after structural relaxation, from OQMD.

Computed properties:
energy = -4.156 eV per atom

a b c (Å): 4.8484 4.8484 4.8484
angles (deg): 60.00 60.00 60.00
With the nearest neighbours (Å) after each atom.
Fractional coordinates of all 4 atoms:
Ba1 0.7500 0.7500 0.7500  4 Cu 2.97, 4 Hf 2.97
Cu1 0.0000 0.0000 0.0000  4 Cu 2.97, 4 Ba 2.97
Cu2 0.2500 0.2500 0.2500  4 Hf 2.97, 4 Cu 2.97
Hf1 0.5000 0.5000 0.5000  4 Cu 2.97, 4 Ba 2.97


The following is a PBE calculation of BaHfCu after structural relaxation, from OQMD.

Computed properties:
ΔE to the lowest computed polymorph = 608 meV/atom
energy = -3.721 eV per atom

a b c (Å): 4.9801 4.9801 4.9801
angles (deg): 60.00 60.00 60.00
With the nearest neighbours (Å) after each atom.
Fractional coordinates of all 3 atoms:
Ba1 0.0000 0.0000 0.0000  4 Hf 3.05, 4 Cu 3.05
Cu1 0.2500 0.2500 0.2500  4 Ba 3.05
Hf1 0.7500 0.7500 0.7500  4 Ba 3.05


The following is a PBE calculation of BaHfCu after structural relaxation, from OQMD.

Computed properties:
ΔE to the lowest computed polymorph = 0 meV/atom
energy = -4.328 eV per atom

a b c (Å): 4.9899 4.9899 4.9899
angles (deg): 60.00 60.00 60.00
With the nearest neighbours (Å) after each atom.
Fractional coordinates of all 3 atoms:
Ba1 0.2500 0.2500 0.2500  4 Cu 3.06
Cu1 0.0000 0.0000 0.0000  4 Hf 3.06, 4 Ba 3.06
Hf1 0.7500 0.7500 0.7500  4 Cu 3.06


The following is a PBE calculation of BaCu2Hg after structural relaxation, from OQMD.

Computed properties:
energy = -2.252 eV per atom

a b c (Å): 5.1823 5.1823 5.1823
angles (deg): 60.00 60.00 60.00
With the nearest neighbours (Å) after each atom.
Fractional coordinates of all 4 atoms:
Ba1 0.7500 0.7500 0.7500  4 Hg 3.17, 4 Cu 3.17
Cu1 0.0000 0.0000 0.0000  4 Ba 3.17, 4 Cu 3.17
Cu2 0.2500 0.2500 0.2500  4 Hg 3.17, 4 Cu 3.17
Hg1 0.5000 0.5000 0.5000  4 Ba 3.17, 4 Cu 3.17


The following is a PBE calculation of BaCuHg2 after structural relaxation, from OQMD.

Computed properties:
energy = -1.664 eV per atom

a b c (Å): 5.3711 5.3711 5.3710
angles (deg): 60.00 60.00 60.00
With the nearest neighbours (Å) after each atom.
Fractional coordinates of all 4 atoms:
Ba1 0.2500 0.2500 0.2500  4 Hg 3.29, 4 Cu 3.29
Cu1 0.0000 0.0000 0.0000  4 Hg 3.29, 4 Ba 3.29
Hg1 0.5000 0.5000 0.5000  4 Ba 3.29, 4 Hg 3.29
Hg2 0.7500 0.7500 0.7500  4 Hg 3.29, 4 Cu 3.29


The following is a PBE calculation of Ba2CuSn2Hg after structural relaxation, from OQMD.

Computed properties:
energy = -3.102 eV per atom

a b c (Å): 4.7955 4.7955 10.0203
angles (deg): 90.00 90.00 120.00
With the nearest neighbours (Å) after each atom.
Fractional coordinates of all 6 atoms:
Ba1 0.6667 0.3333 0.2386  3 Cu 3.66, 6 Sn 3.66-3.81, 3 Hg 3.81
Ba2 0.6667 0.3333 0.7614  3 Cu 3.66, 6 Sn 3.66-3.81, 3 Hg 3.81
Cu1 0.3333 0.6667 0.0000  3 Sn 2.77
Hg1 0.0000 0.0000 0.5000  3 Sn 2.77
Sn1 0.0000 0.0000 0.0000  3 Cu 2.77
Sn2 0.3333 0.6667 0.5000  3 Hg 2.77


The following is a PBE calculation of Ba3Ho2Cu2PtN10 after structural relaxation, from OQMD.

Computed properties:
energy = -6.357 eV per atom

a b c (Å): 7.0115 7.0115 8.0617
angles (deg): 104.48 104.48 47.27
With the nearest neighbours (Å) after each atom.
Fractional coordinates of all 18 atoms:
Ba1 0.1407 0.1407 0.0087  5 N 2.62-2.84
Ba2 0.0000 0.0000 0.5000  4 N 2.75
Ba3 0.8593 0.8593 0.9913  5 N 2.62-2.84
Cu1 0.4164 0.4164 0.2789  4 N 1.93-2.00
Cu2 0.5836 0.5836 0.7211  4 N 1.93-2.00
Ho1 0.6648 0.6648 0.3203  3 N 2.19-2.26
Ho2 0.3352 0.3352 0.6797  3 N 2.19-2.26
N1 0.6686 0.6686 0.0498  1 Pt 2.09, 1 Ho 2.19
N2 0.7425 0.2880 0.2247  1 Cu 1.93
N3 0.2880 0.7425 0.2247  1 Cu 1.93
N4 0.4048 0.1778 0.3596  1 N 1.28
N5 0.1778 0.4048 0.3596  1 N 1.28
N6 0.8222 0.5952 0.6404  1 N 1.28
N7 0.5952 0.8222 0.6404  1 N 1.28
N8 0.7120 0.2575 0.7753  1 Cu 1.93
N9 0.2575 0.7120 0.7753  1 Cu 1.93
N10 0.3314 0.3314 0.9502  1 Pt 2.09, 1 Ho 2.19
Pt1 0.5000 0.5000 0.0000  6 N 2.09-2.18


The following is a PBE calculation of Ba3Ho2Cu2PtS10 after structural relaxation, from OQMD.

Computed properties:
energy = -5.176 eV per atom

a b c (Å): 8.1714 8.1714 8.7757
angles (deg): 106.11 106.11 48.70
With the nearest neighbours (Å) after each atom.
Fractional coordinates of all 18 atoms:
Ba1 0.1557 0.1557 0.0590  5 S 3.04-3.38
Ba2 0.0000 0.0000 0.5000  8 S 3.15-3.16
Ba3 0.8443 0.8443 0.9410  5 S 3.04-3.38
Cu1 0.4072 0.4072 0.2771  4 S 2.34-2.47
Cu2 0.5928 0.5928 0.7229  4 S 2.34-2.47
Ho1 0.6765 0.6765 0.3703  7 S 2.74-2.82
Ho2 0.3235 0.3235 0.6297  7 S 2.74-2.82
Pt1 0.5000 0.5000 0.0000  6 S 2.40-2.41
S1 0.6675 0.6675 0.0451  1 Pt 2.40
S2 0.7530 0.2839 0.2143  1 Pt 2.41, 1 Cu 2.47
S3 0.2839 0.7530 0.2143  1 Pt 2.41, 1 Cu 2.47
S4 0.5511 0.0877 0.3709  1 Cu 2.34
S5 0.0877 0.5511 0.3709  1 Cu 2.34
S6 0.9123 0.4489 0.6291  1 Cu 2.34
S7 0.4489 0.9123 0.6291  1 Cu 2.34
S8 0.7161 0.2470 0.7857  1 Pt 2.41, 1 Cu 2.47
S9 0.2470 0.7161 0.7857  1 Pt 2.41, 1 Cu 2.47
S10 0.3325 0.3325 0.9549  1 Pt 2.40


The following is a PBE calculation of Ba3Ho2Cu2Te10Pt after structural relaxation, from OQMD.

Computed properties:
energy = -4.236 eV per atom

a b c (Å): 9.2167 9.2167 10.2336
angles (deg): 108.30 108.30 46.31
With the nearest neighbours (Å) after each atom.
Fractional coordinates of all 18 atoms:
Ba1 0.1574 0.1574 0.0752  9 Te 3.53-3.85, 1 Cu 3.79
Ba2 0.0000 0.0000 0.5000  8 Te 3.49-3.58
Ba3 0.8426 0.8426 0.9248  9 Te 3.53-3.85, 1 Cu 3.79
Cu1 0.3947 0.3947 0.2399  5 Te 2.70-2.88
Cu2 0.6053 0.6053 0.7601  5 Te 2.70-2.88
Ho1 0.6715 0.6715 0.3625  7 Te 3.10-3.27
Ho2 0.3285 0.3285 0.6375  7 Te 3.10-3.27
Pt1 0.5000 0.5000 0.0000  6 Te 2.75
Te1 0.6689 0.6689 0.0411  1 Cu 2.70, 1 Pt 2.75
Te2 0.7700 0.2695 0.2106  1 Pt 2.75, 1 Cu 2.88
Te3 0.2695 0.7700 0.2106  1 Pt 2.75, 1 Cu 2.88
Te4 0.5508 0.0873 0.3745  1 Cu 2.75
Te5 0.0873 0.5508 0.3745  1 Cu 2.75
Te6 0.9127 0.4492 0.6255  1 Cu 2.75
Te7 0.4492 0.9127 0.6255  1 Cu 2.75
Te8 0.7305 0.2300 0.7894  1 Pt 2.75, 1 Cu 2.88
Te9 0.2300 0.7305 0.7894  1 Pt 2.75, 1 Cu 2.88
Te10 0.3311 0.3311 0.9589  1 Cu 2.70, 1 Pt 2.75